(1)
ScTa | Alexandria | SCAN | single point on PBEsol structure; crystal system = hexagonal
1.0
3.012 0.000 0.000
-1.506 2.608 0.000
0.000 0.000 10.031
Sc Ta
2 2
Direct
0.000 0.000 0.000
0.000 0.000 0.500
0.333 0.667 0.250
0.667 0.333 0.750

---

(2)
ScTa3 | Alexandria | SCAN | single point on PBEsol structure; crystal system = trigonal
1.0
4.750 2.742 0.935
-4.750 2.742 0.935
0.000 -5.485 0.935
Sc Ta
1 3
Direct
0.000 0.000 0.000
0.000 0.500 0.500
0.500 0.000 0.500
0.500 0.500 0.000

---

(3)
ScTa | Alexandria | SCAN | single point on PBEsol structure; crystal system = cubic
1.0
0.000 3.114 3.114
3.114 0.000 3.114
3.114 3.114 0.000
Sc Ta
1 1
Direct
0.000 0.000 0.000
0.250 0.250 0.250

---

(4)
ScTa3 | Alexandria | SCAN | single point on PBEsol structure; crystal system = tetragonal
1.0
3.324 0.000 0.000
0.000 3.324 0.000
0.000 0.000 6.855
Sc Ta
1 3
Direct
0.000 0.000 0.000
0.000 0.000 0.500
0.500 0.500 0.282
0.500 0.500 0.718

---

(5)
ScTa | Alexandria | SCAN | single point on PBEsol structure; crystal system = orthorhombic
1.0
-1.780 2.450 4.555
1.780 -2.450 4.555
1.780 2.450 -4.555
Sc Ta
2 2
Direct
0.365 0.115 0.250
0.635 0.885 0.750
0.105 0.355 0.750
0.895 0.645 0.250

---

(6)
ScTa | Alexandria | SCAN | single point on PBEsol structure; crystal system = orthorhombic
1.0
2.971 0.000 0.000
0.000 4.854 0.000
0.000 0.000 5.471
Sc Ta
2 2
Direct
0.250 0.250 0.103
0.750 0.750 0.897
0.250 0.750 0.422
0.750 0.250 0.578

---

(7)
ScTa | Alexandria | SCAN | single point on PBEsol structure; crystal system = tetragonal
1.0
3.400 0.000 0.000
0.000 3.400 0.000
0.000 0.000 7.159
Sc Ta
2 2
Direct
0.250 0.250 0.162
0.750 0.750 0.838
0.250 0.250 0.592
0.750 0.750 0.408

---

(8)
Sc2Ta | Alexandria | SCAN | single point on PBEsol structure; crystal system = orthorhombic
1.0
2.283 -6.421 0.000
2.283 6.421 0.000
0.000 0.000 4.208
Sc Ta
4 2
Direct
0.080 0.920 0.750
0.251 0.749 0.250
0.749 0.251 0.750
0.920 0.080 0.250
0.425 0.575 0.750
0.575 0.425 0.250

---

(9)
Sc2Ta | Alexandria | SCAN | single point on PBEsol structure; crystal system = cubic
1.0
0.000 3.912 3.912
3.912 0.000 3.912
3.912 3.912 0.000
Sc Ta
4 2
Direct
0.000 0.000 0.000
0.000 0.000 0.500
0.000 0.500 0.000
0.500 0.000 0.000
0.375 0.375 0.375
0.625 0.625 0.625

---

(10)
ScTa3 | Alexandria | SCAN | single point on PBEsol structure; crystal system = orthorhombic
1.0
2.752 0.000 0.000
0.000 4.698 0.000
0.000 0.000 5.748
Sc Ta
1 3
Direct
0.000 0.000 0.000
0.000 0.000 0.500
0.500 0.500 0.255
0.500 0.500 0.745

---

(11)
ScTa3 | Alexandria | SCAN | single point on PBEsol structure; crystal system = orthorhombic
1.0
1.655 -2.345 0.000
1.655 2.345 0.000
0.000 0.000 9.550
Sc Ta
1 3
Direct
0.000 0.000 0.000
0.000 0.000 0.500
0.500 0.500 0.264
0.500 0.500 0.736

---

(12)
ScTa | Alexandria | SCAN | single point on PBEsol structure; crystal system = monoclinic
1.0
5.726 -1.462 0.000
5.726 1.462 0.000
-1.576 0.000 7.033
Sc Ta
3 3
Direct
0.000 0.000 0.000
0.066 0.066 0.642
0.672 0.672 0.336
0.331 0.331 0.661
0.396 0.396 0.307
0.748 0.748 0.977

---

(13)
ScTaTc2 | Alexandria | SCAN | single point on PBEsol structure; crystal system = orthorhombic
1.0
-1.573 2.200 4.618
1.573 -2.200 4.618
1.573 2.200 -4.618
Sc Ta Tc
1 1 2
Direct
0.000 0.000 0.000
0.268 0.768 0.500
0.509 0.509 0.000
0.743 0.243 0.500

---

(14)
ScTa2Tc | Alexandria | SCAN | single point on PBEsol structure; crystal system = tetragonal
1.0
3.163 0.000 0.000
0.000 3.163 0.000
0.000 0.000 6.979
Sc Ta Tc
1 2 1
Direct
0.000 0.000 0.000
0.000 0.000 0.547
0.500 0.500 0.290
0.500 0.500 0.752

---

(15)
ScTa2Tc | Alexandria | SCAN | single point on PBEsol structure; crystal system = orthorhombic
1.0
-1.590 2.337 4.624
1.590 -2.337 4.624
1.590 2.337 -4.624
Sc Ta Tc
1 2 1
Direct
0.000 0.000 0.000
0.272 0.772 0.500
0.536 0.536 0.000
0.758 0.258 0.500

---

Number 1: size of the total moment 0.00 μB per formula unit, calculated total energy -40.143 eV per atom. Number 2: size of the total moment 0.00 μB per formula unit, calculated total energy -53.316 eV per atom. Number 3: size of the total moment 3.82 μB per formula unit, calculated total energy -37.468 eV per atom. Number 4: size of the total moment 0.00 μB per formula unit, calculated total energy -53.322 eV per atom. Number 5: size of the total moment 0.00 μB per formula unit, calculated total energy -40.172 eV per atom. Number 6: size of the total moment 0.00 μB per formula unit, calculated total energy -40.195 eV per atom. Number 7: size of the total moment 0.00 μB per formula unit, calculated total energy -40.307 eV per atom. Number 8: size of the total moment 0.00 μB per formula unit, calculated total energy -31.457 eV per atom. Number 9: size of the total moment 0.00 μB per formula unit, calculated total energy -30.948 eV per atom. Number 10: size of the total moment 0.00 μB per formula unit, calculated total energy -53.251 eV per atom. Number 11: size of the total moment 0.00 μB per formula unit, calculated total energy -53.361 eV per atom. Number 12: size of the total moment 0.00 μB per formula unit, calculated total energy -40.191 eV per atom. Number 13: size of the total moment 0.00 μB per formula unit, calculated total energy -38.078 eV per atom. Number 14: size of the total moment 0.00 μB per formula unit, calculated total energy -45.744 eV per atom. Number 15: size of the total moment 0.00 μB per formula unit, calculated total energy -45.740 eV per atom.